MgNiOsF2 (PBE with a Hubbard U, relaxed); VASP energy = -4.4780 eV per atom; spin magnetization = 3.620 μB/f.u.
1.0
-3.5616 -0.5299 -0.5353
0.6105 -6.0393 1.9168
-0.6674 1.0211 3.4298
Os Mg F Ni
1 1 2 1
direct
0.5000 0.5000 0.5000
0.0000 0.0000 0.0000
0.5000 0.0000 0.0000
0.0000 0.0000 0.5000
0.0000 0.5000 0.0000